Material: Ce6PuOs3
Method: DFT, PBE-GGA
State: relaxed

Unit cell a=9.975 b=4.491 c=12.185 alpha=90.00 beta=112.60 gamma=90.00
Space group P2_1/m (No. 11)
Symmetry-distinct sites (fractional):
Ce (0.025, 0.250, 0.181)
Ce (0.122, 0.750, 0.614)
Ce (0.257, 0.750, 0.092)
Ce (0.278, 0.750, 0.391)
Ce (0.347, 0.250, 0.916)
Ce (0.416, 0.250, 0.652)
Pu (0.338, 0.250, 0.270)
Os (0.093, 0.250, 0.974)
Os (0.161, 0.250, 0.463)
Os (0.422, 0.750, 0.807)

Summary:
The total moment comes out at 7.4 μB per formula unit. The total DFT energy (no corrections) comes out at -8.413 eV/atom. The value obtained for the formation energy is -0.051 eV per atom.